No. 1
# AcMoOs

A relaxed structure of AcMoOs (PBE-GGA, OQMD).

Cell: 6.532 6.532 6.532 Å, 90.00 90.00 90.00°
Sites, in units of the cell vectors:
Ac: 0.000 0.000 0.000
Ac: 0.000 0.500 0.500
Ac: 0.500 0.000 0.500
Ac: 0.500 0.500 0.000
Mo: 0.250 0.250 0.250
Mo: 0.250 0.750 0.750
Mo: 0.750 0.250 0.750
Mo: 0.750 0.750 0.250
Os: 0.000 0.000 0.500
Os: 0.000 0.500 0.000
Os: 0.500 0.000 0.000
Os: 0.500 0.500 0.500

Properties
Space group = No. 216
Density = 12.23 Mg/m³
Formation enthalpy at 0 K = 2.70 eV per formula unit
Offset from the most stable computed form = 0.0 meV/atom
Calculated total energy = -7.83 eV/atom

=====

No. 2
# SrAcIr

A relaxed structure of SrAcIr (PBE-GGA, OQMD).

Cell: 7.317 7.317 7.317 Å, 90.00 90.00 90.00°
Sites, in units of the cell vectors:
Sr: 0.000 0.000 0.000
Sr: 0.000 0.500 0.500
Sr: 0.500 0.000 0.500
Sr: 0.500 0.500 0.000
Ac: 0.000 0.000 0.500
Ac: 0.000 0.500 0.000
Ac: 0.500 0.000 0.000
Ac: 0.500 0.500 0.500
Ir: 0.250 0.250 0.750
Ir: 0.250 0.750 0.250
Ir: 0.750 0.250 0.250
Ir: 0.750 0.750 0.750

Properties
Space group = No. 216
Density = 8.59 Mg/m³
Offset from the most stable computed form = 0.0 meV/atom
Calculated total energy = -5.24 eV/atom

=====

No. 3
# NdSm2Ni9

A relaxed structure of NdSm2Ni9 (PBE-GGA, OQMD).

Cell: 8.694 8.694 8.694 Å, 33.48 33.48 33.48°
Sites, in units of the cell vectors:
Nd: 0.000 0.000 0.000
Sm: 0.139 0.139 0.139
Sm: 0.861 0.861 0.861
Ni: 0.082 0.582 0.582
Ni: 0.333 0.333 0.333
Ni: 0.418 0.418 0.918
Ni: 0.418 0.918 0.418
Ni: 0.500 0.500 0.500
Ni: 0.582 0.082 0.582
Ni: 0.582 0.582 0.082
Ni: 0.667 0.667 0.667
Ni: 0.918 0.418 0.418

Properties
Space group = No. 166
Density = 9.07 Mg/m³
Formation enthalpy at 0 K = -4.15 eV per formula unit
Calculated total energy = -5.70 eV/atom

=====

No. 4
# TePtS

A relaxed structure of TePtS (PBE-GGA, OQMD).

Cell: 3.807 3.807 16.065 Å, 90.00 90.00 120.00°
Sites, in units of the cell vectors:
Te: 0.000 0.000 0.000
Te: 0.333 0.667 0.667
Te: 0.667 0.333 0.333
Pt: 0.000 0.000 0.425
Pt: 0.333 0.667 0.091
Pt: 0.667 0.333 0.758
S: 0.000 0.000 0.176
S: 0.333 0.667 0.843
S: 0.667 0.333 0.509

Properties
Space group = No. 160
Density = 8.76 Mg/m³
Calculated total energy = -4.42 eV/atom

=====

No. 5
# CuAg9

A relaxed structure of CuAg9 (PBE-GGA, OQMD).

Cell: 5.028 7.696 9.209 Å, 97.03 100.38 90.14°
Sites, in units of the cell vectors:
Cu: 0.143 0.355 0.452
Cu: 0.857 0.645 0.548
Ag: 0.000 0.000 0.500
Ag: 0.052 0.449 0.154
Ag: 0.101 0.895 0.795
Ag: 0.197 0.800 0.102
Ag: 0.254 0.249 0.743
Ag: 0.295 0.694 0.405
Ag: 0.350 0.150 0.049
Ag: 0.396 0.595 0.692
Ag: 0.441 0.057 0.353
Ag: 0.500 0.500 0.000
Ag: 0.559 0.943 0.647
Ag: 0.604 0.405 0.308
Ag: 0.650 0.850 0.951
Ag: 0.705 0.306 0.595
Ag: 0.746 0.751 0.257
Ag: 0.803 0.200 0.898
Ag: 0.899 0.105 0.205
Ag: 0.948 0.551 0.846

Properties
Space group = No. 2
Density = 9.88 Mg/m³
Formation enthalpy at 0 K = 0.29 eV per formula unit
Offset from the most stable computed form = 11.2 meV/atom
Calculated total energy = -2.88 eV/atom

=====

No. 6
# Li2Tb2O5

A relaxed structure of Li2Tb2O5 (PBE-GGA, OQMD).

Cell: 4.133 4.133 7.945 Å, 90.00 90.00 90.00°
Sites, in units of the cell vectors:
Li: 0.000 0.000 0.000
Li: 0.000 0.000 0.500
Tb: 0.500 0.500 0.229
Tb: 0.500 0.500 0.771
O: 0.000 0.500 0.142
O: 0.000 0.500 0.858
O: 0.500 0.000 0.142
O: 0.500 0.000 0.858
O: 0.500 0.500 0.500

Properties
Space group = No. 123
Density = 5.04 Mg/m³
Offset from the most stable computed form = 188.2 meV/atom
Calculated total energy = -6.26 eV/atom

=====

No. 7
# LaAsIrAu

A relaxed structure of LaAsIrAu (PBE-GGA, OQMD).

Cell: 6.876 6.876 6.876 Å, 90.00 90.00 90.00°
Sites, in units of the cell vectors:
La: 0.000 0.000 0.000
La: 0.000 0.500 0.500
La: 0.500 0.000 0.500
La: 0.500 0.500 0.000
As: 0.250 0.250 0.250
As: 0.250 0.750 0.750
As: 0.750 0.250 0.750
As: 0.750 0.750 0.250
Ir: 0.000 0.000 0.500
Ir: 0.000 0.500 0.000
Ir: 0.500 0.000 0.000
Ir: 0.500 0.500 0.500
Au: 0.250 0.250 0.750
Au: 0.250 0.750 0.250
Au: 0.750 0.250 0.250
Au: 0.750 0.750 0.750

Properties
Space group = No. 216
Density = 12.32 Mg/m³
Offset from the most stable computed form = 0.0 meV/atom
Calculated total energy = -5.77 eV/atom

=====

No. 8
# AcLaSm

A relaxed structure of AcLaSm (PBE-GGA, OQMD).

Cell: 8.133 8.133 8.133 Å, 90.00 90.00 90.00°
Sites, in units of the cell vectors:
Ac: 0.000 0.000 0.000
Ac: 0.000 0.500 0.500
Ac: 0.500 0.000 0.500
Ac: 0.500 0.500 0.000
La: 0.000 0.000 0.500
La: 0.000 0.500 0.000
La: 0.500 0.000 0.000
La: 0.500 0.500 0.500
Sm: 0.250 0.250 0.250
Sm: 0.250 0.750 0.750
Sm: 0.750 0.250 0.750
Sm: 0.750 0.750 0.250

Properties
Space group = No. 216
Density = 6.37 Mg/m³
Formation enthalpy at 0 K = 1.85 eV per formula unit
Offset from the most stable computed form = 0.0 meV/atom
Calculated total energy = -3.96 eV/atom

=====

No. 9
# La2Sm

A relaxed structure of La2Sm (PBE-GGA, OQMD).

Cell: 6.747 6.747 6.747 Å, 60.00 60.00 60.00°
Sites, in units of the cell vectors:
La: 0.000 0.000 0.000
La: 0.000 0.000 0.500
La: 0.000 0.500 0.000
La: 0.500 0.000 0.000
Sm: 0.375 0.375 0.375
Sm: 0.625 0.625 0.625

Properties
Space group = No. 227
Density = 6.55 Mg/m³
Formation enthalpy at 0 K = 0.65 eV per formula unit
Offset from the most stable computed form = 0.0 meV/atom
Calculated total energy = -4.64 eV/atom

=====

No. 10
# HoSbTe

A relaxed structure of HoSbTe (PBE-GGA, OQMD).

Cell: 7.261 7.261 7.261 Å, 90.00 90.00 90.00°
Sites, in units of the cell vectors:
Ho: 0.000 0.000 0.000
Ho: 0.000 0.500 0.500
Ho: 0.500 0.000 0.500
Ho: 0.500 0.500 0.000
Sb: 0.000 0.000 0.500
Sb: 0.000 0.500 0.000
Sb: 0.500 0.000 0.000
Sb: 0.500 0.500 0.500
Te: 0.250 0.250 0.250
Te: 0.250 0.750 0.750
Te: 0.750 0.250 0.750
Te: 0.750 0.750 0.250

Properties
Space group = No. 216
Density = 7.19 Mg/m³
Calculated total energy = -4.23 eV/atom

=====

No. 11
# PrDySi2

A relaxed structure of PrDySi2 (PBE-GGA, OQMD).

Cell: 5.848 3.901 8.131 Å, 90.00 90.77 90.00°
Sites, in units of the cell vectors:
Pr: 0.115 0.250 0.180
Pr: 0.885 0.750 0.820
Dy: 0.386 0.250 0.678
Dy: 0.614 0.750 0.322
Si: 0.128 0.750 0.467
Si: 0.378 0.750 0.960
Si: 0.622 0.250 0.040
Si: 0.872 0.250 0.533

Properties
Space group = No. 11
Density = 6.44 Mg/m³
Offset from the most stable computed form = 11.1 meV/atom
Calculated total energy = -5.82 eV/atom

=====

No. 12
# SmHoSb

A relaxed structure of SmHoSb (PBE-GGA, OQMD).

Cell: 7.226 7.226 7.226 Å, 90.00 90.00 90.00°
Sites, in units of the cell vectors:
Sm: 0.000 0.000 0.000
Sm: 0.000 0.500 0.500
Sm: 0.500 0.000 0.500
Sm: 0.500 0.500 0.000
Ho: 0.000 0.000 0.500
Ho: 0.000 0.500 0.000
Ho: 0.500 0.000 0.000
Ho: 0.500 0.500 0.500
Sb: 0.250 0.250 0.750
Sb: 0.250 0.750 0.250
Sb: 0.750 0.250 0.250
Sb: 0.750 0.750 0.750

Properties
Space group = No. 216
Density = 7.69 Mg/m³
Calculated total energy = -5.03 eV/atom

=====

No. 13
# K2AgHgBr6

A relaxed structure of K2AgHgBr6 (PBE-GGA, OQMD).

Cell: 7.789 7.789 7.789 Å, 60.00 60.00 60.00°
Sites, in units of the cell vectors:
K: 0.250 0.250 0.250
K: 0.750 0.750 0.750
Ag: 0.000 0.000 0.000
Hg: 0.500 0.500 0.500
Br: 0.247 0.247 0.753
Br: 0.247 0.753 0.247
Br: 0.247 0.753 0.753
Br: 0.753 0.247 0.247
Br: 0.753 0.247 0.753
Br: 0.753 0.753 0.247

Properties
Space group = No. 225
Density = 4.30 Mg/m³
Calculated total energy = -2.39 eV/atom